Entry 1:
The following is a DFT calculation (PBE) of SbMo2Cl after structural relaxation.

formation energy (no corrections): 0.999 eV/atom
relative energy among the computed polymorphs: 106.0 kJ per mole of atoms
DOS at the Fermi energy: 4.76 states/eV/f.u.

a b c (Å): 6.071 6.071 6.543
angles (deg): 62.36 62.36 90.00
Atoms (fractional coordinates):
Sb 0.000 0.000 0.000
Sb 0.750 0.250 0.500
Mo 0.573 0.125 0.250
Mo 0.177 0.625 0.250
Mo 0.375 0.427 0.750
Mo 0.875 0.823 0.750
Cl 0.500 0.500 0.000
Cl 0.250 0.750 0.500


Entry 2:
The following is a DFT calculation (PBE) of CaCu2Sb after structural relaxation.

formation energy (no corrections): 0.095 eV/atom
DOS at the Fermi energy: 1.61 states/eV/f.u.

a b c (Å): 5.656 5.656 3.321
angles (deg): 74.27 74.27 115.02
Atoms (fractional coordinates):
Sb 0.500 0.000 0.500
Ca 0.000 0.500 0.500
Cu 0.000 0.000 0.000
Cu 0.500 0.500 0.000


Entry 3:
The following is a DFT calculation (PBE) of ScWBr2 after structural relaxation.

formation energy (no corrections): 0.587 eV/atom
relative energy among the computed polymorphs: 88.6 kJ per mole of atoms
DOS at the Fermi energy: 3.48 states/eV/f.u.

a b c (Å): 4.768 4.768 4.768
angles (deg): 60.00 60.00 60.00
Atoms (fractional coordinates):
Sc 0.000 0.000 0.000
Br 0.250 0.250 0.250
Br 0.750 0.750 0.750
W 0.500 0.500 0.500


Entry 4:
The following is a DFT calculation (PBE) of NpOF2 after structural relaxation.

formation energy (no corrections): -3.307 eV/atom
DOS at the Fermi energy: 8.93 states/eV/f.u.

a b c (Å): 4.148 4.563 4.563
angles (deg): 90.00 90.00 90.00
Atoms (fractional coordinates):
Np 0.000 0.000 0.000
O 0.500 0.000 0.000
F 0.000 0.500 0.000
F 0.000 0.000 0.500


Entry 5:
The following is a DFT calculation (PBE) of Er3TmTe3 after structural relaxation.

formation energy (no corrections): -0.902 eV/atom
DOS at the Fermi energy: 5.71 states/eV/f.u.

a b c (Å): 7.035 7.035 11.074
angles (deg): 71.48 71.48 60.00
Atoms (fractional coordinates):
Er 0.465 0.781 0.633
Er 0.781 0.121 0.633
Er 0.121 0.465 0.633
Er 0.879 0.535 0.367
Er 0.219 0.879 0.367
Er 0.535 0.219 0.367
Tm 0.333 0.333 0.001
Tm 0.667 0.667 0.999
Te 0.262 0.622 0.175
Te 0.941 0.262 0.175
Te 0.622 0.941 0.175
Te 0.378 0.059 0.825
Te 0.059 0.738 0.825
Te 0.738 0.378 0.825


Entry 6:
The following is a DFT calculation (PBE) of ReAs2SeN after structural relaxation.

formation energy (no corrections): 1.629 eV/atom
relative energy among the computed polymorphs: 45.5 kJ per mole of atoms
DOS at the Fermi energy: 3.84 states/eV/f.u.

a b c (Å): 4.819 4.819 4.686
angles (deg): 90.00 90.00 90.00
Atoms (fractional coordinates):
Re 0.000 0.000 0.000
As 0.000 0.500 0.000
As 0.500 0.000 0.000
Se 0.000 0.000 0.500
N 0.500 0.500 0.500


Entry 7:
The following is a DFT calculation (PBE) of BaSi2PO8 after structural relaxation.

formation energy (no corrections): -2.263 eV/atom
DOS at the Fermi energy: 7.70 states/eV/f.u.

a b c (Å): 4.969 4.969 8.459
angles (deg): 72.92 72.92 60.00
Atoms (fractional coordinates):
Ba 0.000 0.000 0.000
Si 0.769 0.769 0.694
Si 0.231 0.231 0.306
P 0.500 0.500 0.500
O 0.701 0.701 0.896
O 0.299 0.299 0.104
O 0.386 0.386 0.374
O 0.614 0.614 0.626
O 0.146 0.614 0.626
O 0.386 0.854 0.374
O 0.854 0.386 0.374
O 0.614 0.146 0.626


Entry 8:
The following is a DFT calculation (PBE) of Li2AgHg4 after structural relaxation.

ΔH_f (0 K): -0.1800 eV per atom
relative energy among the computed polymorphs: 0.0 kJ per mole of atoms
DOS at the Fermi energy: 2.49 states/eV/f.u.

a b c (Å): 7.013 6.680 7.316
angles (deg): 117.36 90.00 90.00
Atoms (fractional coordinates):
Li 0.000 0.758 0.518
Li 0.000 0.242 0.482
Li 0.500 0.742 0.482
Li 0.500 0.258 0.518
Ag 0.000 0.000 0.000
Ag 0.500 0.500 0.000
Hg 0.749 0.625 0.747
Hg 0.749 0.376 0.253
Hg 0.751 0.876 0.253
Hg 0.751 0.125 0.747
Hg 0.249 0.875 0.253
Hg 0.249 0.124 0.747
Hg 0.251 0.624 0.747
Hg 0.251 0.375 0.253